Record 1
NdSmSeN GGA-PBE optimized geometry; SG = R3m, No. 160; energy = -6.9526 eV per atom
1.0
-1.7564 -2.6110 -2.1276
2.0382 -2.4471 -2.0704
0.2016 -5.9924 3.7965
Nd Se Sm N
1 1 1 1
Cartesian
0.2870 -5.2652 -3.9483
0.3621 -8.2678 -0.3255
0.2364 -5.3117 -0.4585
0.1215 -2.7894 -0.0681

=====

Record 2
TbNdSeN GGA-PBE optimized geometry; SG = R3m, No. 160; energy = -6.9577 eV per atom
1.0
3.7529 0.0000 0.0000
1.8764 3.2501 0.0000
1.8764 1.0834 6.6946
Nd Se N Tb
1 1 1 1
Cartesian
5.6293 3.2501 0.3176
5.6293 3.2501 4.9465
1.8764 1.0834 1.7737
3.7529 2.1667 3.0041

=====

Record 3
Nd4Te2SeN2 GGA-PBE optimized geometry; SG = C2/m, No. 12; energy = -6.6202 eV per atom
1.0
4.1476 0.0000 0.0000
0.0000 7.6208 0.2242
-2.0738 -2.7876 7.5248
N Te Nd Se
2 2 4 1
Cartesian
2.0738 6.5126 2.8634
0.0000 -1.6794 4.8856
0.0000 3.3568 2.0997
2.0738 1.4764 5.6493
2.0738 5.5750 0.8600
2.0738 4.8529 4.5366
0.0000 -0.7418 6.8891
0.0000 -0.0197 3.2124
0.0000 0.0000 0.0000

=====

Record 4
Nd3TeSeN GGA-PBE optimized geometry; SG = P2_1/m, No. 11; energy = -6.3519 eV per atom
1.0
-3.4096 -0.4211 2.3297
5.1382 -2.0502 7.1493
-0.3476 9.3958 1.1898
Nd N Se Te
6 2 2 2
Cartesian
-0.5396 7.5377 2.4218
-0.4481 0.1090 4.9108
1.8291 6.8155 5.7580
-1.9173 4.0952 3.4811
1.9207 -0.6132 8.2470
3.2984 2.8293 7.1877
1.9879 1.5939 8.7443
-0.6068 5.3307 1.9245
-1.0518 6.6800 5.2151
2.4329 0.2445 5.4537
-0.0477 1.4830 2.0472
1.4288 5.4416 8.6216

=====

Record 5
NdThSeN GGA-PBE optimized geometry; SG = R3m, No. 160; energy = -7.6003 eV per atom
1.0
3.8337 0.0000 0.0000
1.9168 3.3200 0.0000
1.9168 1.1067 6.8272
N Nd Se Th
1 1 1 1
Cartesian
5.7505 3.3200 0.1180
5.7505 3.3200 5.4422
3.8337 2.2134 3.3735
1.9168 1.1067 1.3071

=====

Record 6
NdUSe2N GGA-PBE optimized geometry; SG = P4/nmm, No. 129; energy = -7.8603 eV per atom
1.0
3.9596 0.0000 0.0000
0.0000 3.9596 0.0000
0.0000 0.0000 15.0658
U N Se Nd
2 2 4 2
Cartesian
0.0000 1.9798 6.4062
1.9798 0.0000 8.6596
0.0000 0.0000 7.5329
1.9798 1.9798 7.5329
0.0000 1.9798 10.2366
1.9798 0.0000 4.8292
1.9798 0.0000 13.7885
0.0000 1.9798 1.2773
0.0000 1.9798 13.0838
1.9798 0.0000 1.9820

=====

Record 7
NdUSeN2 GGA-PBE optimized geometry; SG = I4mm, No. 107; energy = -8.7664 eV per atom
1.0
-1.6465 2.2949 2.6520
-3.4969 -0.8507 -1.4349
2.1402 -5.5645 3.3140
Nd U N Se
1 1 2 1
Cartesian
-2.8750 -2.6817 3.3658
-0.1404 -1.5761 1.2767
-1.9555 -2.7489 1.1648
-1.0303 -1.1761 3.2082
-2.5768 0.6644 0.6553

=====

Record 8
NdYSeN GGA-PBE optimized geometry; SG = R3m, No. 160; energy = -7.4161 eV per atom
1.0
-0.4415 3.5534 1.1027
-2.9071 2.0033 -1.2544
-4.7811 -0.2146 5.1423
Nd N Y Se
1 1 1 1
Cartesian
-1.8569 1.4345 0.9989
-4.7246 -0.1828 5.0623
-6.2849 3.9008 4.0088
-4.1092 2.6460 2.5582

=====

Record 9
Nd4Si2N GGA-PBE optimized geometry; SG = I4/mmm, No. 139; energy = -6.1784 eV per atom
1.0
-3.0586 -0.2506 3.6899
3.5295 -1.6281 2.8151
2.0420 6.4318 5.2505
Si Nd N
2 4 1
Cartesian
1.7854 3.4850 7.9589
0.7274 1.0681 3.7966
-1.5293 -0.1253 1.8449
1.7648 -0.8140 1.4076
1.4223 3.9036 4.5652
1.0905 0.6496 7.1903
0.0000 0.0000 0.0000

=====

Record 10
Nd6Si3N GGA-PBE optimized geometry; SG = P2_1/c, No. 14; energy = -5.9650 eV per atom
1.0
-2.4706 3.9476 4.5636
-7.2519 -2.6587 -1.6263
1.0644 -7.2507 7.1084
Nd N Si
12 2 6
Cartesian
-6.2522 -2.5765 6.6506
-4.5538 -0.6220 4.0531
-8.7843 -0.8085 4.0669
-6.2442 -5.2804 9.4420
-2.4139 -0.6814 0.6036
-6.1836 -3.8645 3.4621
-4.1043 -5.3398 5.9925
-2.4059 -3.3853 3.3950
-2.4745 -2.0973 6.5835
-6.7950 -1.3817 0.5353
-1.8632 -4.5801 9.5103
0.1261 -5.1534 5.9787
-4.3291 -2.9809 5.0228
0.0000 0.0000 0.0000
-4.2979 -3.1736 1.0685
0.5322 -3.6253 3.5542
-1.5947 -0.3806 3.6037
-4.8613 0.6444 1.4686
-4.3602 -2.7882 8.9772
-7.0635 -5.5812 6.4420

=====

Record 11
Nd4SiN2 GGA-PBE optimized geometry; SG = I4/m, No. 87; energy = -6.5814 eV per atom
1.0
-4.2661 1.1803 -4.4535
5.6465 -2.3545 -1.4139
-2.6695 -4.4901 3.4840
N Nd Si
2 4 1
Cartesian
-3.1227 -1.9484 -1.9516
1.8336 -3.7158 -0.4318
0.9809 -5.0475 1.2409
-1.8756 -2.0936 -0.0223
0.5866 -3.5707 -2.3610
-2.2700 -0.6168 -3.6242
0.6902 -0.5871 -2.9337

=====

Record 12
Nd2SiN GGA-PBE optimized geometry; SG = R-3m, No. 166; energy = -6.6671 eV per atom
1.0
3.7248 0.0000 0.0000
1.8624 3.2258 0.0000
1.8624 1.0753 7.2093
Si N Nd
1 1 2
Cartesian
0.0000 0.0000 0.0000
3.7248 2.1505 3.6047
1.8624 1.0753 2.1687
5.5872 3.2258 5.0407

=====

Record 13
Nd6SiN4 GGA-PBE optimized geometry; SG = Cmcm, No. 63; energy = -7.2536 eV per atom
1.0
3.7321 0.0000 0.0000
-1.8660 6.1431 0.0000
0.0000 0.0000 19.2287
Nd N Si
12 8 2
Cartesian
0.0000 0.5144 6.7296
1.8660 3.4092 1.5063
1.8660 5.6287 16.3439
0.0000 0.5144 2.8848
0.0000 4.2767 4.8072
1.8660 5.6287 12.4991
0.0000 2.7339 11.1207
1.8660 1.8665 14.4215
1.8660 3.4092 8.1080
1.8660 0.0000 9.6143
0.0000 2.7339 17.7223
1.8660 0.0000 0.0000
0.0000 5.0815 2.3556
0.0000 5.0815 7.2588
1.8660 4.4399 10.3787
1.8660 1.0616 11.9699
1.8660 4.4399 18.4643
0.0000 1.7032 0.7643
1.8660 1.0616 16.8731
0.0000 1.7032 8.8500
0.0000 4.1163 14.4215
1.8660 2.0268 4.8072

=====

Record 14
Nd6Si2N GGA-PBE optimized geometry; SG = P4_2/mnm, No. 136; energy = -5.7484 eV per atom
1.0
-4.8797 2.9767 3.4419
-0.8634 -5.5607 3.5850
8.1616 3.9758 8.1325
N Nd Si
2 12 4
Cartesian
1.2092 0.6959 7.5797
0.0000 0.0000 0.0000
-1.0941 -0.3849 7.7458
2.8625 4.7225 10.4116
-2.9097 1.9106 4.6600
0.1002 3.0533 7.5402
3.5126 1.7767 7.4136
-1.5858 -0.7135 1.9403
-4.1573 -1.8705 5.0867
1.2952 0.7791 10.1266
5.3282 -0.5188 10.4995
-0.4440 -3.3307 4.7478
1.1232 0.6128 5.0328
2.3182 -1.6614 7.6192
3.9160 2.0145 10.2768
5.4549 2.6573 5.4354
-1.4975 -0.6226 4.8826
2.7067 1.3186 2.6971

=====

Record 15
Nd3Si6N11 GGA-PBE optimized geometry; SG = P4bm, No. 100; energy = -8.2184 eV per atom
1.0
10.1368 0.0000 0.0000
0.0000 10.1368 0.0000
0.0000 0.0000 4.8960
Nd N Si
6 22 12
Cartesian
6.9149 8.2903 0.0022
5.0684 5.0684 4.8278
8.2903 3.2219 0.0022
0.0000 0.0000 4.8278
1.8465 6.9149 0.0022
3.2219 1.8465 0.0022
1.5622 3.5061 3.4130
8.3153 9.3346 3.1557
6.6306 1.5622 3.4130
7.3877 5.8459 0.8762
0.8021 8.3153 3.1557
5.0684 0.0000 0.3412
5.8459 2.7491 0.8762
1.8215 0.8021 3.1557
3.2469 5.8705 3.1557
3.5061 8.5745 3.4130
9.3593 7.8175 0.8762
8.5745 6.6306 3.4130
0.7775 2.3193 0.8762
4.2663 3.2469 3.1557
9.3346 1.8215 3.1557
2.7491 4.2909 0.8762
7.8175 0.7775 0.8762
2.3193 9.3593 0.8762
4.2909 7.3877 0.8762
0.0000 5.0684 0.3412
6.8899 4.2663 3.1557
5.8705 6.8899 3.1557
3.8763 8.9447 0.2101
8.0222 0.8062 2.6038
9.3305 8.0222 2.6038
5.8746 2.9538 2.6038
1.1921 3.8763 0.2101
7.1830 5.8746 2.6038
2.1146 9.3305 2.6038
0.8062 2.1146 2.6038
8.9447 6.2605 0.2101
6.2605 1.1921 0.2101
4.2621 7.1830 2.6038
2.9538 4.2621 2.6038

=====

Record 16
SrNd2SiN4 GGA-PBE optimized geometry; SG = Cmcm, No. 63; energy = -7.3611 eV per atom
1.0
3.4730 0.0000 0.0000
-1.7365 6.1587 0.0000
0.0000 0.0000 12.0612
N Sr Si Nd
8 2 2 4
Cartesian
0.0000 3.2452 4.4600
0.0000 3.2452 1.5706
0.0000 0.0000 6.0306
1.7365 1.3053 3.0153
1.7365 2.9135 7.6012
0.0000 0.0000 0.0000
0.0000 4.8534 9.0459
1.7365 2.9135 10.4906
1.7365 4.9957 3.0153
0.0000 1.1630 9.0459
1.7365 3.8520 9.0459
0.0000 2.3067 3.0153
0.0000 4.5382 6.5195
1.7365 1.6205 0.4889
1.7365 1.6205 5.5417
0.0000 4.5382 11.5723

=====

Record 17
SrNdSiN3 GGA-PBE optimized geometry; SG = C2/m, No. 12; energy = -6.9953 eV per atom
1.0
3.8620 0.0000 0.0000
-1.9310 6.4241 -0.0389
0.0000 -2.0669 7.1161
Si N Nd Sr
2 6 2 2
Cartesian
0.0000 -0.5138 1.8783
1.9310 4.8710 5.1989
1.9310 3.1309 4.7144
0.0000 1.2263 2.3628
1.9310 -0.5173 1.9481
1.9310 4.1981 1.3226
0.0000 0.1591 5.7546
0.0000 4.8745 5.1291
1.9310 0.7322 4.0995
0.0000 3.6250 2.9777
1.9310 1.7491 0.4970
0.0000 2.6081 6.5802

=====

Record 18
Tb2NdSiN4 GGA-PBE optimized geometry; SG = Cmcm, No. 63; energy = -7.9042 eV per atom
1.0
-2.9272 -0.4475 -1.6734
4.3420 0.2541 -4.2063
1.3574 -11.5171 0.7054
N Si Tb Nd
8 2 4 2
Cartesian
1.7117 -1.4854 -2.5969
0.6787 -5.7585 0.3527
-0.5742 -3.0972 -1.6241
1.0605 -10.2250 -2.5774
0.7357 -7.4697 -2.7462
2.0364 -4.2407 -2.4281
3.3463 -8.6133 -3.5502
0.0000 0.0000 0.0000
1.3636 -2.8685 -1.6182
1.4085 -8.8420 -3.5561
-0.0835 -5.4924 -1.8419
2.8557 -6.2181 -3.3324
-0.6486 -0.6976 -2.1356
3.4208 -11.0129 -3.0387
1.5250 -8.6325 -0.3592
1.2471 -3.0780 -4.8151

=====

Record 19
NdSiTc2N GGA-PBE optimized geometry; SG = Cmcm, No. 63; energy = -8.5737 eV per atom
1.0
3.8616 0.0000 0.0000
-1.9308 5.5972 0.0000
0.0000 0.0000 7.3400
Tc Si N Nd
4 2 2 2
Cartesian
0.0000 1.8815 4.1048
0.0000 1.8815 6.9052
1.9308 3.7157 3.2352
1.9308 3.7157 0.4348
1.9308 2.5990 5.5050
0.0000 2.9982 1.8350
0.0000 0.0000 3.6700
0.0000 0.0000 0.0000
1.9308 0.5106 1.8350
0.0000 5.0866 5.5050

=====

Record 20
Nd2Si2Tc2N GGA-PBE optimized geometry; SG = C2/m, No. 12; energy = -7.8611 eV per atom
1.0
4.0778 0.0000 0.0000
2.0389 5.6385 -0.0631
2.0389 1.2773 5.5388
Nd Tc Si N
2 2 2 1
Cartesian
4.0778 5.0580 1.6053
4.0778 1.8579 3.8704
4.0778 5.0614 4.9654
4.0778 1.8545 0.5103
6.1167 4.3201 3.8945
2.0389 2.5957 1.5811
0.0000 0.0000 0.0000

=====

Number 1: total moment 0.00 μB per formula unit, formation energy (no corrections) -6.51 eV per formula unit. Number 2: total moment 0.00 μB per formula unit, formation energy (no corrections) -6.62 eV per formula unit. Number 3: total moment 0.00 μB per formula unit, formation energy (no corrections) -14.09 eV per formula unit. Number 4: total moment 0.00 μB per formula unit, formation energy (no corrections) -8.86 eV per formula unit. Number 5: total moment 0.00 μB per formula unit, formation energy (no corrections) -6.40 eV per formula unit. Number 6: total moment 1.72 μB per formula unit, formation energy (no corrections) -7.95 eV per formula unit. Number 7: total moment 1.00 μB per formula unit, formation energy (no corrections) -7.64 eV per formula unit. Number 8: total moment 0.00 μB per formula unit, formation energy (no corrections) -6.62 eV per formula unit. Number 9: total moment 0.00 μB per formula unit, formation energy (no corrections) -5.01 eV per formula unit. Number 10: total moment 0.00 μB per formula unit, formation energy (no corrections) -6.45 eV per formula unit. Number 11: total moment 1.00 μB per formula unit, formation energy (no corrections) -4.92 eV per formula unit. Number 12: total moment 0.00 μB per formula unit, formation energy (no corrections) -3.38 eV per formula unit. Number 13: total moment 0.65 μB per formula unit, formation energy (no corrections) -12.46 eV per formula unit. Number 14: total moment 0.00 μB per formula unit, formation energy (no corrections) -3.96 eV per formula unit. Number 15: total moment 0.00 μB per formula unit, formation energy (no corrections) -25.95 eV per formula unit. Number 16: total moment 0.00 μB per formula unit, formation energy (no corrections) -8.95 eV per formula unit. Number 17: total moment 0.00 μB per formula unit, formation energy (no corrections) -5.12 eV per formula unit. Number 18: total moment 0.00 μB per formula unit, formation energy (no corrections) -10.48 eV per formula unit. Number 19: total moment 0.00 μB per formula unit, formation energy (no corrections) -3.62 eV per formula unit. Number 20: total moment 0.00 μB per formula unit, formation energy (no corrections) -5.59 eV per formula unit.